Density functional theory data (PBE-GGA) for a geometry-optimized BiBr2O structure.

Geometry as extended XYZ:
```
16
Lattice="6.621 0.000 0.000 0.000 6.621 0.000 0.000 0.000 10.521" Properties=species:S:1:pos:R:3 pbc="T T T"
Bi 0.000 1.655 3.945
Bi 0.000 4.965 6.576
Bi 3.310 1.655 1.315
Bi 3.310 4.965 9.206
Br 0.000 0.000 0.000
Br 0.000 3.310 0.000
Br 1.655 1.655 7.891
Br 1.655 4.965 2.630
Br 3.310 0.000 5.261
Br 3.310 3.310 5.261
Br 4.965 1.655 7.891
Br 4.965 4.965 2.630
O 0.000 1.655 9.206
O 0.000 4.965 1.315
O 3.310 1.655 6.576
O 3.310 4.965 3.945
```

Properties
total magnetic moment	0.00	μB/cell
final energy	-40.0	eV/cell
ρ	5.5	g/cm³
ΔE_f (raw)	0.548	eV per atom